1.
A relaxed ScCrCd2 crystal. Source: the Alexandria database, functional GGA-PBE.

The structure in POSCAR format:
```
ScCrCd2
1.0
-2.075 2.075 10.399
2.075 -2.075 10.399
2.075 2.075 -10.399
Sc Cr Cd
2 2 4
Cartesian
0.000 0.000 0.000
0.000 2.075 5.200
2.075 0.000 5.200
0.000 0.000 10.399
1.037 -0.992 7.799
1.083 1.037 2.600
1.037 3.067 -2.600
0.992 1.037 12.999
```

Properties
Polymorph energy (0 for the lowest one): 372 meV/atom
Space group: No. 122
Formation energy: 1.7 eV/f.u.

=====

2.
A relaxed TbZr2Be crystal. Source: the Alexandria database, functional GGA-PBE.

The structure in POSCAR format:
```
TbZr2Be
1.0
3.194 0.000 0.000
0.000 3.194 0.000
0.000 0.000 8.295
Tb Zr Be
1 2 1
Cartesian
0.000 0.000 0.000
1.597 1.597 2.550
1.597 1.597 5.745
0.000 0.000 4.148
```

Properties
Space group: No. 123
Formation energy: 0.3 eV/f.u.

=====

3.
A relaxed GeTeO2 crystal. Source: the Alexandria database, functional GGA-PBE.

The structure in POSCAR format:
```
GeTeO2
1.0
1.534 0.886 7.195
-1.534 0.886 7.195
0.000 -1.771 7.195
Ge Te O
1 1 2
Cartesian
0.000 0.000 0.000
0.000 0.000 10.793
0.000 0.000 1.929
0.000 0.000 19.657
```

Properties
Energy relative to the elements, uncorrected: -0.254 eV per atom
Polymorph energy (0 for the lowest one): 685 meV/atom
Space group: No. 166

=====

4.
A relaxed SmLuCuOs crystal. Source: the Alexandria database, functional GGA-PBE.

The structure in POSCAR format:
```
SmLuCuOs
1.0
0.000 3.433 3.433
3.433 0.000 3.433
3.433 3.433 0.000
Sm Lu Cu Os
1 1 1 1
Cartesian
0.000 0.000 0.000
3.433 3.433 3.433
5.150 5.150 5.150
1.717 1.717 1.717
```

Properties
Space group: No. 216
Formation energy: -0.9 eV/f.u.

=====

5.
A relaxed YTh2Zn crystal. Source: the Alexandria database, functional GGA-PBE.

The structure in POSCAR format:
```
YTh2Zn
1.0
3.574 0.000 0.000
0.000 3.574 0.000
0.000 0.000 9.066
Y Th Zn
1 2 1
Cartesian
0.000 0.000 0.000
1.787 1.787 2.605
1.787 1.787 6.461
0.000 0.000 4.533
```

Properties
Polymorph energy (0 for the lowest one): 0 meV/atom
Space group: No. 123
Formation energy: 0.0 eV/f.u.

=====

6.
A relaxed Pm3Nd2Dy6Y crystal. Source: the Alexandria database, functional GGA-PBE.

The structure in POSCAR format:
```
Pm3Nd2Dy6Y
1.0
3.118 -5.399 0.000
3.118 5.399 0.000
-2.071 0.000 11.697
Pm Nd Dy Y
3 2 6 1
Cartesian
0.000 0.000 0.000
3.118 1.799 0.000
3.118 -1.799 0.000
2.083 3.600 5.849
2.083 -3.600 5.849
1.039 1.800 2.923
0.009 0.000 8.776
1.039 -1.800 2.923
3.127 1.800 8.774
4.156 0.000 2.921
3.127 -1.800 8.774
2.083 0.000 5.849
```

Properties
Space group: No. 12
Formation energy: 0.2 eV/f.u.

=====

no.,calculated density (g cm⁻³)
1,5.968
2,6.877
3,6.577
4,11.879
5,8.868
6,7.537